Entry 1:
{"formula": "PrGdBeZn", "functional": "GGA-PBE", "state": "relaxed", "cell": [[-3.6368, -2.7341, 2.2476], [-0.1802, -5.0262, -0.6766], [1.1702, -3.1191, 3.8282]], "species": ["Pr", "Be", "Zn", "Gd"], "fractional_positions": [[0.7500, 0.7500, 0.7500], [0.0000, 0.0000, 0.0000], [0.5000, 0.5000, 0.5000], [0.2500, 0.2500, 0.2500]], "e_form_ev_per_atom": -0.0568, "space_group": "F-43m", "energy_ev_per_atom": -6.02}

---

Entry 2:
{"formula": "CdP2Ru", "functional": "GGA-PBE", "state": "relaxed", "cell": [[-1.6005, -2.4107, 0.0411], [2.2797, -1.5560, -2.4910], [3.8448, -2.4662, 5.0591]], "species": ["Cd", "P", "P", "Ru"], "fractional_positions": [[0.5000, 0.5000, 0.7839], [0.0000, 0.0000, 0.9911], [0.5000, 0.5000, 0.4063], [0.0000, 0.0000, 0.3187]], "e_form_ev_per_atom": 0.0219, "space_group": "Pmm2", "energy_ev_per_atom": -5.23}

---

Entry 3:
{"formula": "ErThGaCo", "functional": "GGA-PBE", "state": "relaxed", "cell": [[-3.1371, 1.4537, -3.6040], [1.4909, -0.0209, -4.7666], [-1.8710, -3.3595, -3.1870]], "species": ["Co", "Ga", "Th", "Er"], "fractional_positions": [[0.7500, 0.7500, 0.7500], [0.2500, 0.2500, 0.2500], [0.5000, 0.5000, 0.5000], [0.0000, 0.0000, 0.0000]], "e_form_ev_per_atom": -0.2492, "space_group": "F-43m", "energy_ev_per_atom": -5.78}

---

Entry 4:
{"formula": "LiLa2Mg", "functional": "GGA-PBE", "state": "relaxed", "cell": [[5.0739, 0.0182, -1.4066], [-0.4045, 5.0578, -1.4066], [-0.1782, -0.1938, 9.1927]], "species": ["Li", "Li", "La", "La", "La", "La", "Mg", "Mg"], "fractional_positions": [[0.2506, 0.7494, 0.0000], [0.7494, 0.2506, 0.0000], [0.8612, 0.8612, 0.2198], [0.1388, 0.1388, 0.7802], [0.5000, 0.0000, 0.5000], [0.0000, 0.5000, 0.5000], [0.3550, 0.3550, 0.2079], [0.6450, 0.6450, 0.7921]], "e_form_ev_per_atom": 0.0014, "e_above_lowest_polymorph_ev_per_atom": 0.004, "space_group": "C2/m", "energy_ev_per_atom": -3.34}